(1)
Crystalline LaTa2NbW at its relaxed geometry, computed with GGA-PBE.

Unit cell a=4.8630 b=4.8630 c=5.2590 alpha=90.00 beta=90.00 gamma=90.00
Last column: nearest neighbours and their distance in Å.
Positions (direct):
La1 0.0000 0.0000 0.0000  2 Nb 2.63
Ta1 0.0000 0.5000 0.5000  2 Nb 2.43
Ta2 0.5000 0.0000 0.5000  2 Nb 2.43
Nb1 0.0000 0.0000 0.5000  4 Ta 2.43, 2 La 2.63
W1 0.5000 0.5000 0.0000  4 La 3.44, 8 Ta 3.58

- Energy of formation: 1.978 eV per atom
- Symmetry: P4/mmm (123)

---

(2)
Crystalline ScTiSi at its relaxed geometry, computed with GGA-PBE.

Unit cell a=5.0882 b=5.0882 c=5.0882 alpha=140.82 beta=140.82 gamma=56.61
Last column: nearest neighbours and their distance in Å.
Positions (direct):
Sc1 0.0000 0.0000 0.0000  5 Ti 2.79-2.94, 5 Si 2.88-2.91
Ti1 0.6884 0.6884 0.0000  4 Si 2.71, 5 Sc 2.79-2.94
Si1 0.3250 0.3250 0.0000  4 Ti 2.71, 5 Sc 2.88-2.91

- Energy relative to the elements, uncorrected: -1.083 eV/f.u.
- Symmetry: I4mm (107)

---

(3)
Crystalline DyErAgOs at its relaxed geometry, computed with GGA-PBE.

Unit cell a=4.9266 b=4.9266 c=4.9266 alpha=60.00 beta=60.00 gamma=60.00
Last column: nearest neighbours and their distance in Å.
Positions (direct):
Dy1 0.0000 0.0000 0.0000  4 Os 3.02, 4 Ag 3.02
Er1 0.5000 0.5000 0.5000  4 Os 3.02, 4 Ag 3.02
Ag1 0.7500 0.7500 0.7500  4 Dy 3.02, 4 Er 3.02
Os1 0.2500 0.2500 0.2500  4 Dy 3.02, 4 Er 3.02

- Energy of formation: -0.295 eV per atom
- Symmetry: F-43m (216)
- Distance to the lowest polymorph of the same formula: 43.8 meV per atom

---

(4)
Crystalline Cs2As2H5 at its relaxed geometry, computed with GGA-PBE.

Unit cell a=9.8305 b=9.8305 c=9.8305 alpha=54.96 beta=141.84 gamma=141.99
Last column: nearest neighbours and their distance in Å.
Positions (direct):
Cs1 0.9997 0.1363 0.1360  10 H 3.13-3.48
Cs2 0.9997 0.3637 0.3634  10 H 3.13-3.48
Cs3 0.0003 0.6363 0.6366  10 H 3.13-3.48
Cs4 0.0003 0.8637 0.8640  10 H 3.13-3.48
As1 0.4651 0.2338 0.7313  1 H 1.56
As2 0.5025 0.7338 0.2687  1 H 1.56
As3 0.5281 0.0281 0.5000  2 H 1.55
As4 0.5281 0.5281 0.0000  2 H 1.55
H1 0.1862 0.3575 0.8287  1 As 1.55
H2 0.1862 0.8575 0.3286  1 As 1.55
H3 0.4909 0.1387 0.6393  1 As 1.86
H4 0.4909 0.3517 0.8523  1 As 1.86
H5 0.4994 0.6387 0.1477  1 As 1.86
H6 0.4994 0.8517 0.3607  1 As 1.86
H7 0.4995 0.9042 0.0953  1 As 1.56
H8 0.5289 0.3575 0.1713  1 As 1.55
H9 0.5289 0.8575 0.6714  1 As 1.55
H10 0.8089 0.4042 0.9047  1 As 1.56

- Symmetry: Ima2 (46)
- Distance to the lowest polymorph of the same formula: 90.3 meV per atom

---

(5)
Crystalline BaTa2CdOs at its relaxed geometry, computed with GGA-PBE.

Unit cell a=5.1240 b=5.1240 c=5.0020 alpha=90.00 beta=90.00 gamma=90.00
Last column: nearest neighbours and their distance in Å.
Positions (direct):
Ba1 0.0000 0.0000 0.0000  2 Os 2.50, 4 Ta 2.56
Ta1 0.0000 0.5000 0.0000  2 Ba 2.56
Ta2 0.5000 0.0000 0.0000  2 Ba 2.56
Cd1 0.5000 0.5000 0.5000  8 Ta 3.58, 4 Os 3.62
Os1 0.0000 0.0000 0.5000  2 Ba 2.50

- Energy of formation: 3.039 eV per atom
- Symmetry: P4/mmm (123)

---

(6)
Crystalline Ac6DyIn5 at its relaxed geometry, computed with GGA-PBE.

Unit cell a=5.5255 b=8.9840 c=8.9676 alpha=90.00 beta=107.98 gamma=90.00
Last column: nearest neighbours and their distance in Å.
Positions (direct):
Ac1 0.0000 0.2262 0.0000  6 In 3.43-3.58, 2 Dy 3.70
Ac2 0.0000 0.7738 0.0000  6 In 3.43-3.58, 2 Dy 3.70
Ac3 0.3270 0.2519 0.6549  7 In 3.48-3.86, 1 Dy 3.69, 2 Ac 3.82-3.83
Ac4 0.3270 0.7481 0.6549  7 In 3.48-3.86, 1 Dy 3.69, 2 Ac 3.82-3.83
Ac5 0.6730 0.2519 0.3451  7 In 3.48-3.86, 1 Dy 3.69, 2 Ac 3.82-3.83
Ac6 0.6730 0.7481 0.3451  7 In 3.48-3.86, 1 Dy 3.69, 2 Ac 3.82-3.83
Dy1 0.5000 0.5000 0.0000  4 In 3.68, 8 Ac 3.69-3.70
In1 0.1429 0.5000 0.2850  8 Ac 3.46-3.86, 2 Dy 3.68
In2 0.1736 0.0000 0.3449  8 Ac 3.48-3.58, 2 In 3.82-3.84
In3 0.5000 0.0000 0.0000  8 Ac 3.43-3.71
In4 0.8264 0.0000 0.6551  8 Ac 3.48-3.58, 2 In 3.82-3.84
In5 0.8571 0.5000 0.7150  8 Ac 3.46-3.86, 2 Dy 3.68

- Energy of formation: -0.317 eV per atom
- Symmetry: P2/m (10)

---

(7)
Crystalline MgCu3P2 at its relaxed geometry, computed with GGA-PBE.

Unit cell a=7.6664 b=7.6664 c=6.7401 alpha=114.79 beta=114.79 gamma=29.16
Last column: nearest neighbours and their distance in Å.
Positions (direct):
Mg1 0.1580 0.1580 0.0665  3 P 2.69-2.76, 4 Cu 2.93-2.98
Mg2 0.8420 0.8420 0.9335  3 P 2.69-2.76, 4 Cu 2.93-2.98
Cu1 0.0551 0.0551 0.3789  3 P 2.29-2.36
Cu2 0.3159 0.3159 0.5764  2 P 2.29-2.35
Cu3 0.3929 0.3929 0.2941  3 P 2.27-2.36
Cu4 0.6071 0.6071 0.7059  3 P 2.27-2.36
Cu5 0.6841 0.6841 0.4236  2 P 2.29-2.35
Cu6 0.9449 0.9449 0.6211  3 P 2.29-2.36
P1 0.2003 0.2003 0.7167  4 Cu 2.29-2.36
P2 0.4860 0.4860 0.8256  1 P 2.20, 4 Cu 2.27-2.35
P3 0.5140 0.5140 0.1744  1 P 2.20, 4 Cu 2.27-2.35
P4 0.7997 0.7997 0.2833  4 Cu 2.29-2.36

- Energy of formation: -0.196 eV per atom
- Symmetry: C2/m (12)

---

(8)
Crystalline SmDySe2 at its relaxed geometry, computed with GGA-PBE.

Unit cell a=4.0394 b=4.0394 c=14.0997 alpha=90.00 beta=90.00 gamma=120.00
Last column: nearest neighbours and their distance in Å.
Positions (direct):
Sm1 0.0000 0.0000 0.0000  6 Se 2.94
Sm2 0.0000 0.0000 0.5000  6 Se 2.94
Dy1 0.3333 0.6667 0.2500  6 Se 2.91
Dy2 0.6667 0.3333 0.7500  6 Se 2.91
Se1 0.3333 0.6667 0.6266  3 Dy 2.91, 3 Sm 2.94
Se2 0.3333 0.6667 0.8734  3 Dy 2.91, 3 Sm 2.94
Se3 0.6667 0.3333 0.1266  3 Dy 2.91, 3 Sm 2.94
Se4 0.6667 0.3333 0.3734  3 Dy 2.91, 3 Sm 2.94

- Energy relative to the elements, uncorrected: -7.053 eV/f.u.
- Symmetry: P6_3/mmc (194)
- Distance to the lowest polymorph of the same formula: 22.2 meV per atom

---

(9)
Crystalline Er5Cd4Ag at its relaxed geometry, computed with GGA-PBE.

Unit cell a=3.6886 b=3.6886 c=18.4697 alpha=90.00 beta=90.00 gamma=90.00
Last column: nearest neighbours and their distance in Å.
Positions (direct):
Er1 0.0000 0.0000 0.0000  8 Cd 3.21
Er2 0.0000 0.0000 0.2028  8 Cd 3.19-3.21
Er3 0.0000 0.0000 0.4053  4 Ag 3.14, 4 Cd 3.23, 1 Er 3.50
Er4 0.0000 0.0000 0.5947  4 Ag 3.14, 4 Cd 3.23, 1 Er 3.50
Er5 0.0000 0.0000 0.7972  8 Cd 3.19-3.21
Cd1 0.5000 0.5000 0.1014  8 Er 3.21
Cd2 0.5000 0.5000 0.3023  8 Er 3.19-3.23
Cd3 0.5000 0.5000 0.6977  8 Er 3.19-3.23
Cd4 0.5000 0.5000 0.8986  8 Er 3.21
Ag1 0.5000 0.5000 0.5000  8 Er 3.14

- Energy of formation: -0.317 eV per atom
- Symmetry: P4/mmm (123)

---

(10)
Crystalline BSbPd5 at its relaxed geometry, computed with GGA-PBE.

Unit cell a=6.8175 b=6.8175 c=6.8175 alpha=116.53 beta=108.55 gamma=103.60
Last column: nearest neighbours and their distance in Å.
Positions (direct):
B1 0.0000 0.0000 0.0000  6 Pd 2.06-2.10
B2 0.5000 0.0000 0.5000  6 Pd 2.06-2.10
Sb1 0.3539 0.6039 0.7500  7 Pd 2.65-2.94
Sb2 0.6461 0.3961 0.2500  7 Pd 2.65-2.94
Pd1 0.0000 0.2881 0.2881  1 B 2.07
Pd2 0.0000 0.7119 0.7119  1 B 2.07
Pd3 0.1564 0.2332 0.9232  1 B 2.06
Pd4 0.1899 0.7668 0.4232  1 B 2.06
Pd5 0.3311 0.0811 0.2500  2 B 2.10
Pd6 0.5000 0.2881 0.7881  1 B 2.07
Pd7 0.5000 0.7119 0.2119  1 B 2.07
Pd8 0.6689 0.9189 0.7500  2 B 2.10
Pd9 0.8101 0.2332 0.5768  1 B 2.06
Pd10 0.8436 0.7668 0.0768  1 B 2.06

- Energy relative to the elements, uncorrected: -1.406 eV/f.u.
- Symmetry: Imma (74)

---

(11)
Crystalline KSnPdO4 at its relaxed geometry, computed with GGA-PBE.

Unit cell a=6.8375 b=6.8375 c=6.8375 alpha=123.65 beta=123.09 gamma=84.25
Last column: nearest neighbours and their distance in Å.
Positions (direct):
K1 0.3620 0.1120 0.2500  4 O 2.42-2.47
K2 0.6380 0.8880 0.7500  4 O 2.42-2.47
Sn1 0.0000 0.0000 0.5000  6 O 2.11-2.17
Sn2 0.0000 0.5000 0.0000  6 O 2.11-2.17
Pd1 0.0000 0.5000 0.5000  4 O 2.11
Pd2 0.5000 0.5000 0.0000  4 O 2.11
O1 0.1981 0.7407 0.4573  2 Sn 2.11
O2 0.2120 0.2624 0.5504  2 Pd 2.11, 1 Sn 2.17
O3 0.2120 0.6616 0.9496  2 Pd 2.11, 1 Sn 2.17
O4 0.2166 0.2593 0.9573  2 Sn 2.11
O5 0.7834 0.7407 0.0427  2 Sn 2.11
O6 0.7880 0.3384 0.0504  2 Pd 2.11, 1 Sn 2.17
O7 0.7880 0.7376 0.4496  2 Pd 2.11, 1 Sn 2.17
O8 0.8019 0.2593 0.5427  2 Sn 2.11

- Energy relative to the elements, uncorrected: -7.661 eV/f.u.
- Symmetry: Imma (74)

---

Final energy, record by record: -8.353 -6.911 -6.106 -3.146 -4.516 -3.896 -4.313 -5.836 -3.249 -5.453 -5.398 eV per atom
Calculated volume, record by record: 124.37 52.16 84.55 358.89 131.33 423.43 173.94 199.24 251.30 240.72 213.34 Å³ per cell